[1]
NpAl2Ir | PBE | optimized geometry

Results
V = 16.98 Å³ per atom
Fermi-level density of states = 1.412 states/eV per atom
Total magnetic moment = 4.0 μB per formula unit
ΔE_f = -0.452 eV/atom
SG = P4/mmm, No. 123

abc: 2.963 2.963 7.736
angles: 90.00 90.00 90.00
Last column: magnetic moment on the atom in μB.
Atoms (fractional coordinates):
Al1 0.000 0.000 0.199  -0.02
Al2 0.000 0.000 0.801  -0.02
Np1 0.500 0.500 0.500  3.84
Ir1 0.500 0.500 0.000  0.01

[2]
Np2Al9Ir3 | PBE | optimized geometry

Results
V = 16.86 Å³ per atom
Fermi-level density of states = 1.680 states/eV per atom
Total magnetic moment = 7.1 μB per formula unit
ΔE_f = -0.607 eV/atom
SG = C2/c, No. 15

abc: 7.610 7.610 10.406
angles: 89.88 111.36 120.32
Last column: magnetic moment on the atom in μB.
Atoms (fractional coordinates):
Np1 0.338 0.249 0.752  3.65
Np2 0.997 0.586 0.748  3.65
Np3 0.003 0.414 0.252  3.65
Np4 0.662 0.751 0.248  3.65
Al1 0.212 0.691 0.072  -0.01
Al2 0.782 0.476 0.424  -0.01
Al3 0.880 0.130 0.750  -0.01
Al4 0.788 0.309 0.928  -0.01
Al5 0.130 0.983 0.944  -0.01
Al6 0.461 0.814 0.444  -0.01
Al7 0.870 0.017 0.056  -0.01
Al8 0.539 0.186 0.556  -0.01
Al9 0.552 0.358 0.076  -0.01
Al10 0.119 0.140 0.428  -0.01
Al11 0.218 0.524 0.576  -0.01
Al12 0.327 0.287 0.248  -0.01
Al13 0.461 0.921 0.748  -0.01
Al14 0.448 0.642 0.924  -0.01
Al15 0.881 0.860 0.572  -0.01
Al16 0.120 0.870 0.250  -0.01
Al17 0.673 0.713 0.752  -0.01
Al18 0.539 0.079 0.252  -0.01
Ir1 0.158 0.828 0.501  -0.09
Ir2 0.500 0.000 0.000  -0.09
Ir3 0.826 0.656 0.999  -0.09
Ir4 0.174 0.344 0.001  -0.09
Ir5 0.842 0.172 0.499  -0.09
Ir6 0.500 0.500 0.500  -0.09

[3]
NpAl6Ir3 | PBE | optimized geometry

Results
V = 16.67 Å³ per atom
Fermi-level density of states = 1.109 states/eV per atom
Total magnetic moment = 3.2 μB per formula unit
ΔE_f = -0.635 eV/atom
SG = P2_1/m, No. 11

abc: 4.220 7.998 9.988
angles: 81.43 90.00 90.00
Last column: magnetic moment on the atom in μB.
Atoms (fractional coordinates):
Ir1 0.250 0.633 0.145  -0.05
Ir2 0.750 0.144 0.142  -0.13
Ir3 0.750 0.367 0.855  -0.05
Ir4 0.750 0.756 0.493  -0.06
Ir5 0.250 0.244 0.507  -0.06
Ir6 0.250 0.856 0.858  -0.13
Al1 0.250 0.873 0.590  0.00
Al2 0.750 0.862 0.024  -0.01
Al3 0.250 0.576 0.433  0.00
Al4 0.250 0.320 0.247  0.00
Al5 0.750 0.424 0.567  0.00
Al6 0.250 0.331 0.732  -0.01
Al7 0.750 0.680 0.753  0.00
Al8 0.250 0.138 0.976  -0.01
Al9 0.750 0.461 0.084  0.00
Al10 0.750 0.669 0.268  -0.01
Al11 0.250 0.539 0.916  0.00
Al12 0.750 0.127 0.410  0.00
Np1 0.750 0.058 0.727  3.31
Np2 0.250 0.942 0.273  3.31

[4]
NpAlIrO6 | PBE | optimized geometry

Results
E_form (uncorrected) = -2.06 eV/atom
V = 11.20 Å³ per atom
Fermi-level density of states = 0.299 states/eV per atom
Total magnetic moment = 1.0 μB per formula unit
SG = P-31c, No. 163

abc: 5.187 5.187 8.650
angles: 90.00 90.00 120.00
Last column: magnetic moment on the atom in μB.
Atoms (fractional coordinates):
Al1 0.667 0.333 0.750  0.00
Al2 0.333 0.667 0.250  0.00
O1 0.676 0.024 0.871  -0.04
O2 0.676 0.653 0.629  -0.04
O3 0.024 0.347 0.129  -0.04
O4 0.324 0.347 0.371  -0.04
O5 0.347 0.024 0.629  -0.04
O6 0.653 0.676 0.129  -0.04
O7 0.024 0.676 0.371  -0.04
O8 0.976 0.653 0.871  -0.04
O9 0.347 0.324 0.871  -0.04
O10 0.324 0.976 0.129  -0.04
O11 0.653 0.976 0.371  -0.04
O12 0.976 0.324 0.629  -0.04
Np1 0.667 0.333 0.250  1.36
Np2 0.333 0.667 0.750  1.36
Ir1 0.000 0.000 0.000  -0.11
Ir2 0.000 0.000 0.500  -0.11